# 1
{"formula": "ScMo6W2", "functional": "PBE", "state": "optimized geometry", "ef_kj_per_mol_fu": 283, "energy_ev_per_atom": -10.48, "vol_a3_per_cell": 156.4, "m_tot_mub_per_fu": 0.0, "lattice_angstrom": [[6.347, -2.224, 0.000], [6.347, 2.224, 0.000], [-0.748, 0.000, 5.540]], "species": ["Sc", "Mo", "Mo", "Mo", "Mo", "Mo", "Mo", "W", "W"], "frac_coords": [[0.000, 0.000, 0.000], [0.213, 0.213, 0.385], [0.221, 0.221, 0.899], [0.408, 0.408, 0.783], [0.416, 0.416, 0.296], [0.619, 0.619, 0.706], [0.622, 0.622, 0.199], [0.015, 0.015, 0.499], [0.815, 0.815, 0.591]]}


# 2
{"formula": "ScMo2W", "functional": "PBE", "state": "optimized geometry", "ef_kj_per_mol_fu": 139, "energy_ev_per_atom": -9.88, "vol_a3_per_cell": 69.7, "m_tot_mub_per_fu": 0.0, "lattice_angstrom": [[1.504, 0.868, 8.900], [-1.504, 0.868, 8.900], [0.000, -1.736, 8.900]], "species": ["Sc", "Mo", "Mo", "W"], "frac_coords": [[0.000, 0.000, 0.000], [0.244, 0.244, 0.244], [0.502, 0.502, 0.502], [0.757, 0.757, 0.757]]}


# 3
{"formula": "ScMo2W", "functional": "PBE", "state": "optimized geometry", "ef_kj_per_mol_fu": 25, "energy_ev_per_atom": -10.17, "vol_a3_per_cell": 67.4, "m_tot_mub_per_fu": 0.0, "lattice_angstrom": [[-1.586, 2.301, 4.613], [1.586, -2.301, 4.613], [1.586, 2.301, -4.613]], "species": ["Sc", "Mo", "Mo", "W"], "frac_coords": [[0.000, 0.000, 0.000], [0.503, 0.503, 0.000], [0.739, 0.239, 0.500], [0.265, 0.765, 0.500]]}


# 4
{"formula": "ScMo2W", "functional": "PBE", "state": "optimized geometry", "ef_kj_per_mol_fu": 49, "energy_ev_per_atom": -10.11, "vol_a3_per_cell": 67.0, "m_tot_mub_per_fu": 0.0, "lattice_angstrom": [[2.840, -4.501, 0.000], [2.840, 4.501, 0.000], [-0.941, 0.000, 2.620]], "species": ["Sc", "Mo", "Mo", "W"], "frac_coords": [[0.000, 0.000, 0.000], [0.000, 0.500, 0.500], [0.500, 0.000, 0.500], [0.500, 0.500, 0.000]]}


# 5
{"formula": "ScMoW", "functional": "PBE", "state": "optimized geometry", "ef_kj_per_mol_fu": 2, "energy_ev_per_atom": -10.03, "vol_a3_per_cell": 110.6, "m_tot_mub_per_fu": 0.0, "lattice_angstrom": [[-2.682, 2.701, 3.815], [2.682, -2.701, 3.815], [2.682, 2.701, -3.815]], "species": ["Sc", "Sc", "Mo", "Mo", "W", "W"], "frac_coords": [[0.375, 0.125, 0.250], [0.625, 0.875, 0.750], [0.000, 0.000, 0.500], [0.000, 0.500, 0.000], [0.000, 0.500, 0.500], [0.500, 0.500, 0.000]]}


# 6
{"formula": "ScMo2W", "functional": "PBE", "state": "optimized geometry", "ef_kj_per_mol_fu": 136, "energy_ev_per_atom": -9.89, "vol_a3_per_cell": 70.2, "m_tot_mub_per_fu": 0.0, "lattice_angstrom": [[1.515, 0.875, 8.825], [-1.515, 0.875, 8.825], [0.000, -1.750, 8.825]], "species": ["Sc", "Mo", "Mo", "W"], "frac_coords": [[0.000, 0.000, 0.000], [0.243, 0.243, 0.243], [0.757, 0.757, 0.757], [0.500, 0.500, 0.500]]}